VASP calculation (PBE) on InCu2Hg after structural relaxation.

Lattice parameters (Å, degrees): 4.456 3.108 5.019 87.51 90.00 90.00
Fractional positions:
Cu 0.000 0.138 0.966
Cu 0.500 0.112 0.282
Hg 0.000 0.607 0.430
In 0.500 0.643 0.822

## Properties
Energy of formation ... 50 kJ/mol of formula units
Energy above the lowest structure with this stoichiometry ... 0.0000 eV/atom
Size of the total moment ... 0.000 Bohr magnetons per cell
SG ... Pm (6)
Calculated volume ... 17.363 A^3/atom
Crystal system ... monoclinic
Electronic total energy ... -2.678 eV/atom

---

VASP calculation (PBE) on In2CuHg after structural relaxation.

Lattice parameters (Å, degrees): 3.418 3.156 8.505 90.46 90.00 90.00
Fractional positions:
Cu 0.500 0.250 0.250
Hg 0.500 0.750 0.750
In 0.000 0.744 0.056
In 0.000 0.756 0.444

## Properties
Energy of formation ... 23 kJ/mol of formula units
Size of the total moment ... 0.000 Bohr magnetons per cell
SG ... P2/m (10)
Calculated volume ... 22.934 A^3/atom
Crystal system ... monoclinic
Electronic total energy ... -2.409 eV/atom

---

VASP calculation (PBE) on InCu2Hg after structural relaxation.

Lattice parameters (Å, degrees): 7.363 7.363 5.948 51.76 51.76 90.00
Fractional positions:
Hg 0.000 0.000 0.000
Hg 0.750 0.250 0.500
Cu 0.626 0.125 0.250
Cu 0.124 0.625 0.250
Cu 0.375 0.374 0.750
Cu 0.875 0.876 0.750
In 0.500 0.500 0.000
In 0.250 0.750 0.500

## Properties
Energy of formation ... 128 kJ/mol of formula units
Energy above the lowest structure with this stoichiometry ... 0.2005 eV/atom
Size of the total moment ... 0.000 Bohr magnetons per cell
SG ... I-42d (122)
Calculated volume ... 19.492 A^3/atom
Crystal system ... tetragonal
Electronic total energy ... -2.477 eV/atom